Material: Sm3ErZn8
Method: DFT, PBE
State: relaxed

Results
The value obtained for the formation energy from the elements is -3.915 eV/f.u. The space group is No. 160. As for the energy above the most stable polymorph in this dataset: 0.000 eV per atom.

Cell: 9.5164 9.5164 9.5164 Å, 33.69 33.69 33.69°
Atoms (fractional coordinates):
1 Sm 0.0000 0.0000 0.0000
2 Sm 0.1248 0.1248 0.1248
3 Sm 0.4996 0.4996 0.4996
4 Er 0.6242 0.6242 0.6242
5 Zn 0.0597 0.5621 0.5621
6 Zn 0.0624 0.0624 0.5641
7 Zn 0.0624 0.5641 0.0624
8 Zn 0.3123 0.3123 0.3123
9 Zn 0.5621 0.0597 0.5621
10 Zn 0.5621 0.5621 0.0597
11 Zn 0.5641 0.0624 0.0624
12 Zn 0.8120 0.8120 0.8120